No. 1
{
  "formula": "Cu3Ag7",
  "functional": "PBE",
  "state": "relaxed",
  "lattice_angstrom": [[2.8830, 0.0000, 0.0000], [0.0000, 3.8704, 0.0000], [0.0000, 0.0000, 14.6213]],
  "species": ["Cu", "Cu", "Cu", "Ag", "Ag", "Ag", "Ag", "Ag", "Ag", "Ag"],
  "fractional_positions": [[0.0000, 0.0000, 0.0000], [0.5000, 0.5000, 0.0838], [0.5000, 0.5000, 0.9162], [0.0000, 0.0000, 0.1786], [0.0000, 0.0000, 0.3923], [0.0000, 0.0000, 0.6077], [0.0000, 0.0000, 0.8214], [0.5000, 0.5000, 0.2847], [0.5000, 0.5000, 0.5000], [0.5000, 0.5000, 0.7153]],
  "formation_enthalpy_0k_ev_per_atom": 0.063,
  "e_above_lowest_polymorph_ev_per_atom": 0.034,
  "space_group": "Pmmm"
}


No. 2
{
  "formula": "Cu3Ag2",
  "functional": "PBE",
  "state": "relaxed",
  "lattice_angstrom": [[4.3535, -1.9036, 0.0000], [4.3535, 1.9036, 0.0000], [-0.0327, 0.0000, 8.6347]],
  "species": ["Cu", "Cu", "Cu", "Cu", "Cu", "Cu", "Ag", "Ag", "Ag", "Ag"],
  "fractional_positions": [[0.0000, 0.0000, 0.0000], [0.4049, 0.4049, 0.8048], [0.5006, 0.5006, 0.5160], [0.7076, 0.7076, 0.9008], [0.8124, 0.8124, 0.6147], [0.9085, 0.9085, 0.3189], [0.1049, 0.1049, 0.7153], [0.2109, 0.2109, 0.4164], [0.3039, 0.3039, 0.0951], [0.5989, 0.5989, 0.2074]],
  "formation_enthalpy_0k_ev_per_atom": 0.098,
  "e_above_lowest_polymorph_ev_per_atom": 0.056,
  "space_group": "Cm"
}


No. 3
{
  "formula": "Cu5Ag3",
  "functional": "PBE",
  "state": "relaxed",
  "lattice_angstrom": [[3.7414, -5.4837, 0.0000], [3.7414, 5.4837, 0.0000], [0.0000, 0.0000, 2.7499]],
  "species": ["Cu", "Cu", "Cu", "Cu", "Cu", "Ag", "Ag", "Ag"],
  "fractional_positions": [[0.0000, 0.0000, 0.0000], [0.1212, 0.3569, 0.5000], [0.3569, 0.1212, 0.5000], [0.6431, 0.8788, 0.5000], [0.8788, 0.6431, 0.5000], [0.2487, 0.7513, 0.0000], [0.5000, 0.5000, 0.0000], [0.7513, 0.2487, 0.0000]],
  "formation_enthalpy_0k_ev_per_atom": 0.097,
  "e_above_lowest_polymorph_ev_per_atom": 0.050,
  "space_group": "Cmmm"
}


No. 4
{
  "formula": "CuAg",
  "functional": "PBE",
  "state": "relaxed",
  "lattice_angstrom": [[7.0125, 0.0000, 0.0000], [-0.6873, 7.6928, 0.0000], [-2.5317, -1.0079, 8.8774]],
  "species": ["Cu", "Cu", "Cu", "Cu", "Cu", "Cu", "Cu", "Cu", "Cu", "Cu", "Cu", "Cu", "Cu", "Cu", "Cu", "Cu", "Ag", "Ag", "Ag", "Ag", "Ag", "Ag", "Ag", "Ag", "Ag", "Ag", "Ag", "Ag", "Ag", "Ag", "Ag", "Ag"],
  "fractional_positions": [[0.0000, 0.0000, 0.0000], [0.0031, 0.0703, 0.5076], [0.1318, 0.9337, 0.7538], [0.2599, 0.7862, 0.0016], [0.2637, 0.8600, 0.5006], [0.3154, 0.9801, 0.2469], [0.3569, 0.1015, 0.9995], [0.5086, 0.0417, 0.7538], [0.5852, 0.7709, 0.2529], [0.6302, 0.8952, 0.0134], [0.6391, 0.9657, 0.5044], [0.6804, 0.0860, 0.2604], [0.7727, 0.8306, 0.7523], [0.8671, 0.1473, 0.7505], [0.9089, 0.7562, 0.5064], [0.9492, 0.8747, 0.2599], [0.0152, 0.5781, 0.7526], [0.0470, 0.2195, 0.2606], [0.0970, 0.3604, 0.9966], [0.1603, 0.4935, 0.5041], [0.2167, 0.6332, 0.2444], [0.2419, 0.2815, 0.7519], [0.3849, 0.2001, 0.5033], [0.4070, 0.7066, 0.7571], [0.4411, 0.3377, 0.2462], [0.4810, 0.5242, 0.0087], [0.5509, 0.6146, 0.4996], [0.6372, 0.4175, 0.7559], [0.7180, 0.2376, 0.0104], [0.7838, 0.3259, 0.5053], [0.8205, 0.5155, 0.2621], [0.8749, 0.6579, 0.0021]],
  "formation_enthalpy_0k_ev_per_atom": 0.082,
  "space_group": "P1"
}